{
  "formula": "Ca2ZrCrOs",
  "functional": "GGA-PBE",
  "state": "optimized geometry",
  "lattice_angstrom": [[-1.1053, -1.4901, -5.1233], [-1.2995, -4.5431, 1.6017], [-5.1434, 1.6892, 0.6183]],
  "species": ["Os", "Zr", "Ca", "Ca", "Cr"],
  "fractional_positions": [[0.0000, 0.0000, 0.0000], [0.0000, 0.5000, 0.0000], [0.5000, 0.0000, 0.0000], [0.0000, 0.0000, 0.5000], [0.5000, 0.5000, 0.5000]],
  "dft_energy_ry_per_atom": -0.405,
  "delta_e_f_ev_per_atom": 1.173,
  "sg": "P4/mmm, No. 123"
}